Here is a relaxed MgInFeMo crystal from OQMD. Energies are from PBE.

```
4
Lattice="0.0000 3.1527 3.1527 3.1527 0.0000 3.1527 3.1527 3.1527 0.0000" Properties=species:S:1:pos:R:3 pbc="T T T"
Mg 0.0000 0.0000 0.0000
In 1.5763 1.5763 1.5763
Fe 3.1527 3.1527 3.1527
Mo 4.7290 4.7290 4.7290
```

Calculated values
Total magnetization = 0.999 μB per formula unit
Uncorrected energy = -5.50 eV per atom